Entry 1:
A geometry-optimized CrCuSi2 structure, computed with PBE.

Cell: 2.5880 4.5064 4.2289 Å, 90.00 90.00 90.00°
Sites, in units of the cell vectors:
Cr1 0.0000 0.0000 0.0000
Cu1 0.5000 0.5000 0.7694
Si1 0.0000 0.5000 0.2635
Si2 0.5000 0.0000 0.4977

Output
- calculated total energy (eV per atom) = -6.176
- space-group type = Pmm2
- calculated density (g/cm³) = 5.78

---

Entry 2:
A geometry-optimized Ca4PBr structure, computed with PBE.

Cell: 6.5870 6.5870 6.5870 Å, 60.00 60.00 60.00°
Sites, in units of the cell vectors:
Ca1 0.1234 0.1234 0.1234
Ca2 0.1234 0.1234 0.6297
Ca3 0.1234 0.6297 0.1234
Ca4 0.6297 0.1234 0.1234
P1 0.7500 0.7500 0.7500
Br1 0.5000 0.5000 0.5000

Output
- calculated total energy (eV per atom) = -2.437
- space-group type = F-43m
- calculated density (g/cm³) = 2.23

---

Entry 3:
A geometry-optimized KHf2Bi2O7 structure, computed with PBE.

Cell: 10.2968 10.2968 10.2968 Å, 160.25 39.59 146.03°
Sites, in units of the cell vectors:
K1 0.0000 0.0000 0.0000
Hf1 0.4370 0.0371 0.3998
Hf2 0.6373 0.0371 0.6002
Bi1 0.2774 0.5812 0.6962
Bi2 0.8850 0.5812 0.3038
O1 0.1215 0.7106 0.4109
O2 0.2215 0.9358 0.2857
O3 0.2997 0.7106 0.5891
O4 0.5630 0.6835 0.8795
O5 0.6156 0.1156 0.5000
O6 0.6501 0.9358 0.7143
O7 0.8039 0.6835 0.1205

Output
- calculated total energy (eV per atom) = -7.510
- space-group type = Imm2
- calculated density (g/cm³) = 7.47

---

Entry 4:
A geometry-optimized NpSi2IrPt2 structure, computed with PBE.

Cell: 4.5897 4.5897 5.4279 Å, 90.00 90.00 90.00°
Sites, in units of the cell vectors:
Np1 0.0000 0.0000 0.0000
Si1 0.0000 0.5000 0.5000
Si2 0.5000 0.0000 0.5000
Ir1 0.0000 0.0000 0.5000
Pt1 0.5000 0.5000 0.2429
Pt2 0.5000 0.5000 0.7571

Output
- calculated total energy (eV per atom) = -7.711
- space-group type = P4/mmm
- calculated density (g/cm³) = 12.72

---

> Among the records above, which one has the highest calculated density?

NpSi2IrPt2